Record 1
Compound: Ba3Pb5
Source: Alexandria
Functional: PBE-GGA
Structure: relaxed

Values from the calculation:
The value obtained for the energy relative to the elements is -442 meV per atom. The calculation puts the energy above the most stable polymorph in this dataset at 6.2 kJ per mole of atoms. The symmetry is No. 43.

a = 7.1480 Å, b = 9.0185 Å, c = 11.3144 Å
α = 82.81°, β = 71.59°, γ = 66.65°
Sites, in units of the cell vectors:
Ba (0.9783, 0.3943, 0.6449)
Ba (0.6274, 0.3943, 0.3551)
Ba (0.8732, 0.8943, 0.8551)
Ba (0.2325, 0.8943, 0.1449)
Ba (0.5483, 0.9033, 0.5000)
Ba (0.2983, 0.4033, 0.0000)
Pb (0.5203, 0.7208, 0.8163)
Pb (0.7589, 0.7208, 0.1837)
Pb (0.5866, 0.2208, 0.6837)
Pb (0.1926, 0.2208, 0.3163)
Pb (0.6701, 0.0879, 0.1647)
Pb (0.2421, 0.0879, 0.8353)
Pb (0.0847, 0.5879, 0.3353)
Pb (0.3274, 0.5879, 0.6647)
Pb (0.0132, 0.9736, 0.5000)
Pb (0.7632, 0.4736, 0.0000)

=====

Record 2
Compound: BaPb3
Source: Alexandria
Functional: PBE-GGA
Structure: relaxed

Values from the calculation:
The value obtained for the energy relative to the elements is -264 meV per atom. The symmetry is No. 123.

a = 4.3356 Å, b = 4.3356 Å, c = 7.5618 Å
α = 90.00°, β = 90.00°, γ = 90.00°
Sites, in units of the cell vectors:
Pb (0.5000, 0.5000, 0.2940)
Pb (0.0000, 0.0000, 0.5000)
Pb (0.5000, 0.5000, 0.7060)
Ba (0.0000, 0.0000, 0.0000)